Record 1
4
Lattice="3.874 0.000 0.000 0.000 5.434 0.000 0.000 0.000 5.434" Properties=species:S:1:pos:R:3 comment="LaHoTe2 GGA-PBE optimized geometry" e_form_raw_mev_per_atom=-1290 sg="No. 123" de_polymorph_ev_per_fu=0.56 dos_ef_per_ev_atom=1.00 pbc="T T T"
Te 0.000 0.000 2.717
Te 0.000 2.717 0.000
Ho 1.937 0.000 0.000
La 1.937 2.717 2.717

***

Record 2
10
Lattice="4.369 0.000 0.000 -2.184 7.128 0.000 0.000 0.000 10.878" Properties=species:S:1:pos:R:3 comment="LaHoTe3 GGA-PBE optimized geometry" e_form_raw_mev_per_atom=-1496 sg="No. 63" de_polymorph_ev_per_fu=0.00 dos_ef_per_ev_atom=0.02 pbc="T T T"
La 0.000 3.561 2.720
La 2.184 3.567 8.159
Ho 0.000 0.000 5.439
Ho 0.000 0.000 0.000
Te 0.000 1.236 8.159
Te 2.184 5.892 2.720
Te 0.000 5.062 6.107
Te 2.184 2.067 4.771
Te 2.184 2.067 0.668
Te 0.000 5.062 10.210

***

Record 3
12
Lattice="-3.966 1.862 0.763 -3.714 -8.202 0.713 4.610 0.904 8.794" Properties=species:S:1:pos:R:3 comment="La3Ho2ThTe6 GGA-PBE optimized geometry" e_form_raw_mev_per_atom=-1382 sg="No. 12" dos_ef_per_ev_atom=0.67 pbc="T T T"
La -3.840 -3.170 0.738
La -0.811 0.827 6.726
La -2.258 -6.263 3.544
Ho -2.702 -3.309 6.990
Ho -0.367 -2.127 3.280
Th -1.983 0.931 0.382
Te -1.603 -6.170 6.720
Te -3.219 -3.162 3.940
Te -1.466 0.733 3.550
Te -0.899 -2.040 0.305
Te -2.170 -3.396 9.964
Te 0.150 -2.274 6.330

***

Record 4
12
Lattice="7.952 0.001 0.000 -3.974 6.888 0.000 -1.327 -2.297 8.151" Properties=species:S:1:pos:R:3 comment="La2HoTl3Te6 GGA-PBE optimized geometry" e_form_raw_mev_per_atom=-1116 sg="No. 12" pbc="T T T"
La 0.007 4.589 0.000
La 3.972 2.300 0.000
Ho 0.000 0.000 0.000
Tl -2.616 4.573 4.076
Tl 5.268 0.019 4.076
Tl 1.326 2.296 4.076
Te 3.929 2.380 6.380
Te 2.702 4.678 1.798
Te -1.277 2.212 1.772
Te 0.097 4.592 6.380
Te -0.050 -0.087 6.354
Te 2.554 -0.001 1.772